Record 1
## CeSbCl (GGA-PBE)

Data for a relaxed CeSbCl crystal.

Properties
The volume comes out at 27.7 Å³ per atom. For the final energy, the calculation gives -15.67 eV/f.u. For the energy relative to the elements, uncorrected, the calculation gives -1255 meV per atom. The value obtained for the polymorph energy (0 for the lowest one) is 0 kJ/mol of formula units.

The structure in CIF format:
```
data_CeSbCl
_chemical_formula_sum 'Ce2 Sb2 Cl2'
_cell_length_a 4.354
_cell_length_b 4.354
_cell_length_c 8.755
_cell_angle_alpha 90.00
_cell_angle_beta 90.00
_cell_angle_gamma 90.00
_symmetry_space_group_name_H-M 'P 4/n m m'
_symmetry_Int_Tables_number 129
loop_
_symmetry_equiv_pos_as_xyz
'x,y,z'
'-x,-y,-z'
'-y+1/2,x,z'
'y+1/2,-x,-z'
'-x+1/2,-y+1/2,z'
'x+1/2,y+1/2,-z'
'y,-x+1/2,z'
'-y,x+1/2,-z'
'x+1/2,-y,-z'
'-x+1/2,y,z'
'-y,-x,-z'
'y,x,z'
'-x,y+1/2,-z'
'x,-y+1/2,z'
'y+1/2,x+1/2,-z'
'-y+1/2,-x+1/2,z'
loop_
_atom_site_label
_atom_site_type_symbol
_atom_site_fract_x
_atom_site_fract_y
_atom_site_fract_z
Ce1 Ce 0.250 0.250 0.225
Sb1 Sb 0.250 0.750 0.500
Cl1 Cl 0.250 0.250 0.881
```

Record 2
## Mg3Cd2In4 (GGA-PBE)

Data for a relaxed Mg3Cd2In4 crystal.

Properties
The volume comes out at 24.8 Å³ per atom. The calculation puts the energy of formation at -0.01 eV per atom. For the final energy, the calculation gives -17.66 eV/f.u.

The structure in CIF format:
```
data_Mg3Cd2In4
_chemical_formula_sum 'Mg6 Cd4 In8'
_cell_length_a 16.045
_cell_length_b 4.617
_cell_length_c 6.502
_cell_angle_alpha 90.00
_cell_angle_beta 112.24
_cell_angle_gamma 90.00
_symmetry_space_group_name_H-M 'C 1 2/m 1'
_symmetry_Int_Tables_number 12
loop_
_symmetry_equiv_pos_as_xyz
'x,y,z'
'-x,-y,-z'
'-x,y,-z'
'x,-y,z'
'x+1/2,y+1/2,z'
'-x+1/2,-y+1/2,-z'
'-x+1/2,y+1/2,-z'
'x+1/2,-y+1/2,z'
loop_
_atom_site_label
_atom_site_type_symbol
_atom_site_fract_x
_atom_site_fract_y
_atom_site_fract_z
Mg1 Mg 0.000 0.000 0.000
Mg2 Mg 0.206 0.000 0.106
Cd1 Cd 0.118 0.500 0.266
In1 In 0.078 0.500 0.756
In2 In 0.172 0.000 0.589
```

Record 3
## ScCrRh3 (GGA-PBE)

Data for a relaxed ScCrRh3 crystal.

Properties
The volume comes out at 19.0 Å³ per atom. The calculation puts the energy of formation at 1.25 eV per atom. For the final energy, the calculation gives -31.74 eV/f.u. The value obtained for the polymorph energy (0 for the lowest one) is 493 kJ/mol of formula units.

The structure in CIF format:
```
data_ScCrRh3
_chemical_formula_sum 'Sc1 Cr1 Rh3'
_cell_length_a 4.562
_cell_length_b 4.562
_cell_length_c 4.562
_cell_angle_alpha 90.00
_cell_angle_beta 90.00
_cell_angle_gamma 90.00
_symmetry_space_group_name_H-M 'P m -3 m'
_symmetry_Int_Tables_number 221
_symmetry_space_group_name_Hall '-P 4 2 3'
loop_
_atom_site_label
_atom_site_type_symbol
_atom_site_fract_x
_atom_site_fract_y
_atom_site_fract_z
Sc1 Sc 0.000 0.000 0.000
Cr1 Cr 0.500 0.500 0.500
Rh1 Rh 0.000 0.000 0.500
```

Record 4
## CsHgBi2Pb2 (GGA-PBE)

Data for a relaxed CsHgBi2Pb2 crystal.

Properties
The volume comes out at 42.5 Å³ per atom. The calculation puts the energy of formation at -0.11 eV per atom. For the final energy, the calculation gives -17.01 eV/f.u.

The structure in CIF format:
```
data_CsHgBi2Pb2
_chemical_formula_sum 'Cs2 Hg2 Bi4 Pb4'
_cell_length_a 6.553
_cell_length_b 16.020
_cell_length_c 4.861
_cell_angle_alpha 90.00
_cell_angle_beta 90.00
_cell_angle_gamma 90.00
_symmetry_space_group_name_H-M 'P n n m'
_symmetry_Int_Tables_number 58
loop_
_symmetry_equiv_pos_as_xyz
'x,y,z'
'-x,-y,-z'
'-x,-y,z'
'x,y,-z'
'x+1/2,-y+1/2,-z+1/2'
'-x+1/2,y+1/2,z+1/2'
'-x+1/2,y+1/2,-z+1/2'
'x+1/2,-y+1/2,z+1/2'
loop_
_atom_site_label
_atom_site_type_symbol
_atom_site_fract_x
_atom_site_fract_y
_atom_site_fract_z
Cs1 Cs 0.000 0.000 0.000
Hg1 Hg 0.000 0.500 0.000
Bi1 Bi 0.223 0.168 0.500
Pb1 Pb 0.222 0.290 0.000
```

Record 5
## RbHgI (GGA-PBE)

Data for a relaxed RbHgI crystal.

Properties
The volume comes out at 49.8 Å³ per atom. For the final energy, the calculation gives -5.42 eV/f.u. For the energy relative to the elements, uncorrected, the calculation gives -866 meV per atom. The value obtained for the polymorph energy (0 for the lowest one) is 22 kJ/mol of formula units.

The structure in CIF format:
```
data_RbHgI
_chemical_formula_sum 'Rb1 Hg1 I1'
_cell_length_a 5.5813
_cell_length_b 5.5813
_cell_length_c 5.5388
_cell_angle_alpha 90.00
_cell_angle_beta 90.00
_cell_angle_gamma 120.00
_symmetry_space_group_name_H-M 'P 3 m 1'
_symmetry_Int_Tables_number 156
loop_
_symmetry_equiv_pos_as_xyz
'x,y,z'
'-y,x-y,z'
'-x+y,-x,z'
'-y,-x,z'
'-x+y,y,z'
'x,x-y,z'
loop_
_atom_site_label
_atom_site_type_symbol
_atom_site_fract_x
_atom_site_fract_y
_atom_site_fract_z
Rb1 Rb 0.0000 0.0000 0.0000
Hg1 Hg 0.6667 0.3333 0.3565
I1 I 0.3333 0.6667 0.6936
```

Record 6
## Pm2PS (GGA-PBE)

Data for a relaxed Pm2PS crystal.

Properties
The volume comes out at 22.0 Å³ per atom. For the final energy, the calculation gives -24.76 eV/f.u. For the energy relative to the elements, uncorrected, the calculation gives -1430 meV per atom. The value obtained for the polymorph energy (0 for the lowest one) is 169 kJ/mol of formula units.

The structure in CIF format:
```
data_Pm2PS
_chemical_formula_sum 'Pm8 P4 S4'
_cell_length_a 7.062
_cell_length_b 7.062
_cell_length_c 7.062
_cell_angle_alpha 90.00
_cell_angle_beta 90.00
_cell_angle_gamma 90.00
_symmetry_space_group_name_H-M 'F m -3 m'
_symmetry_Int_Tables_number 225
_symmetry_space_group_name_Hall '-F 4 2 3'
loop_
_atom_site_label
_atom_site_type_symbol
_atom_site_fract_x
_atom_site_fract_y
_atom_site_fract_z
Pm1 Pm 0.250 0.250 0.250
P1 P 0.000 0.000 0.000
S1 S 0.000 0.000 0.500
```